# Cu2HgAs, PBEsol geometry, DFT SCAN
# formation energy	0.225	eV per atom
# DOS(E_F)	1.34	states/eV per cell
data_Cu2HgAs
_chemical_formula_sum 'Cu2 Hg1 As1'
_cell_length_a 3.0958
_cell_length_b 3.3023
_cell_length_c 5.9884
_cell_angle_alpha 90.00
_cell_angle_beta 90.00
_cell_angle_gamma 90.00
_symmetry_space_group_name_H-M 'P m m m'
_symmetry_Int_Tables_number 47
_symmetry_space_group_name_Hall '-P 2 2'
loop_
_atom_site_label
_atom_site_fract_x
_atom_site_fract_y
_atom_site_fract_z
Cu1 0.0000 0.0000 0.2229
Hg1 0.5000 0.5000 0.5000
As1 0.5000 0.5000 0.0000

***

# CuHgAs, PBEsol geometry, DFT SCAN
# formation energy	0.225	eV per atom
# DOS(E_F)	2.66	states/eV per cell
data_CuHgAs
_chemical_formula_sum 'Cu2 Hg2 As2'
_cell_length_a 2.9241
_cell_length_b 2.9241
_cell_length_c 12.4443
_cell_angle_alpha 90.00
_cell_angle_beta 90.00
_cell_angle_gamma 90.00
_symmetry_space_group_name_H-M 'I 4 m m'
_symmetry_Int_Tables_number 107
_symmetry_space_group_name_Hall 'I 4 -2'
loop_
_atom_site_label
_atom_site_fract_x
_atom_site_fract_y
_atom_site_fract_z
Cu1 0.0000 0.0000 0.0000
Hg1 0.0000 0.0000 0.6604
As1 0.0000 0.0000 0.3783

***

Calculated M_tot in order - 0.0 0.0 μB/f.u.